Entry 1:
Computed, not measured: crystalline Te2RhS at its relaxed geometry at the PBE level of DFT.

```
data_Te2RhS
_chemical_formula_sum 'Te6 Rh3 S3'
_space_group_name_H-M_alt 'R -3 m'
_space_group_IT_number 166
_space_group_name_Hall '-R 3 2"'
_cell_length_a 3.3603
_cell_length_b 3.3603
_cell_length_c 27.7701
_cell_angle_alpha 90.00
_cell_angle_beta 90.00
_cell_angle_gamma 120.00
loop_
_atom_site_label
_atom_site_type_symbol
_atom_site_fract_x
_atom_site_fract_y
_atom_site_fract_z
Te1 Te 0.0000 0.0000 0.0913
Rh1 Rh 0.0000 0.0000 0.0000
S1 S 0.0000 0.0000 0.5000
```

Results
- total magnetization (μB per cell) = 0.0
- raw formation energy (meV per atom) = 565.8

=====

Entry 2:
Computed, not measured: crystalline GeAsAuSe2 at its relaxed geometry at the PBE level of DFT.

```
data_GeAsAuSe2
_chemical_formula_sum 'Ge1 As1 Au1 Se2'
_space_group_name_H-M_alt 'P 4/m m m'
_space_group_IT_number 123
_space_group_name_Hall '-P 4 2'
_cell_length_a 4.955
_cell_length_b 4.955
_cell_length_c 4.987
_cell_angle_alpha 90.00
_cell_angle_beta 90.00
_cell_angle_gamma 90.00
loop_
_atom_site_label
_atom_site_type_symbol
_atom_site_fract_x
_atom_site_fract_y
_atom_site_fract_z
Ge1 Ge 0.000 0.000 0.000
As1 As 0.000 0.000 0.500
Au1 Au 0.500 0.500 0.500
Se1 Se 0.000 0.500 0.000
```

Results
- total magnetization (μB per cell) = 0.0
- raw formation energy (meV per atom) = 745.5

=====

Entry 3:
Computed, not measured: crystalline MnV6H8 at its relaxed geometry at the PBE level of DFT.

```
data_MnV6H8
_chemical_formula_sum 'Mn3 V18 H24'
_space_group_name_H-M_alt 'R -3'
_space_group_IT_number 148
_space_group_name_Hall '-R 3'
_cell_length_a 7.6481
_cell_length_b 7.6481
_cell_length_c 6.5120
_cell_angle_alpha 90.00
_cell_angle_beta 90.00
_cell_angle_gamma 120.00
loop_
_atom_site_label
_atom_site_type_symbol
_atom_site_fract_x
_atom_site_fract_y
_atom_site_fract_z
Mn1 Mn 0.0000 0.0000 0.0000
V1 V 0.0513 0.8061 0.6613
H1 H 0.0000 0.0000 0.2765
H2 H 0.0482 0.7937 0.1656
```

Results
- total magnetization (μB per cell) = 5.4
- E_tot (Ry/atom) = -0.4529

=====

Number 1: ρ 7158 kg/m3. Number 2: ρ 6815 kg/m3. Number 3: ρ 5567 kg/m3.